Entry 1:
Below is an optimized crystal structure of CeEr2Th4, with properties calculated at the GGA-PBE level.

abc: 9.1144 9.1144 9.1144
angles: 144.39 144.39 51.24
Closest atoms and distances in Å follow each position.
Atoms (fractional coordinates):
Ce (0.0000, 0.0000, 0.0000)  6 Th 2.79-2.89
Er (0.3815, 0.3815, 0.0000)  5 Th 3.38-3.40
Er (0.6185, 0.6185, 0.0000)  5 Th 3.38-3.40
Th (0.0000, 0.5000, 0.5000)  2 Ce 2.79
Th (0.1761, 0.1761, 0.0000)  1 Ce 2.89
Th (0.5000, 0.0000, 0.5000)  2 Ce 2.79
Th (0.8239, 0.8239, 0.0000)  1 Ce 2.89

Computed properties:
- total moment (μB per formula unit) = 0.00
- E_form (eV per atom) = 0.7621
- space group = I4/mmm

---

Entry 2:
Below is an optimized crystal structure of CeErTh14, with properties calculated at the GGA-PBE level.

abc: 11.5575 7.1507 7.1507
angles: 60.07 90.00 90.00
Closest atoms and distances in Å follow each position.
Atoms (fractional coordinates):
Ce (0.0000, 0.0000, 0.0000)  10 Th 3.52-3.63, 2 Er 3.58
Er (0.0000, 0.5029, 0.5029)  10 Th 3.53-3.58, 2 Ce 3.58
Th (0.0000, 0.0021, 0.5072)  2 Ce 3.52-3.63, 8 Th 3.53-3.62, 2 Er 3.57-3.58
Th (0.0000, 0.5072, 0.0021)  2 Ce 3.52-3.63, 8 Th 3.53-3.62, 2 Er 3.57-3.58
Th (0.2482, 0.3359, 0.8359)  1 Er 3.53, 1 Ce 3.54, 10 Th 3.55-3.58
Th (0.2482, 0.8359, 0.3359)  1 Er 3.53, 1 Ce 3.54, 10 Th 3.55-3.58
Th (0.2495, 0.3367, 0.3367)  1 Er 3.54, 11 Th 3.55-3.58
Th (0.2495, 0.8361, 0.8361)  1 Ce 3.53, 11 Th 3.53-3.58
Th (0.5000, 0.1695, 0.1695)  12 Th 3.56-3.58
Th (0.5000, 0.1699, 0.6692)  12 Th 3.55-3.58
Th (0.5000, 0.6692, 0.1699)  12 Th 3.55-3.58
Th (0.5000, 0.6689, 0.6689)  12 Th 3.56-3.58
Th (0.7505, 0.3367, 0.3367)  1 Er 3.54, 11 Th 3.55-3.58
Th (0.7505, 0.8361, 0.8361)  1 Ce 3.53, 11 Th 3.53-3.58
Th (0.7518, 0.3359, 0.8359)  1 Er 3.53, 1 Ce 3.54, 10 Th 3.55-3.58
Th (0.7518, 0.8359, 0.3359)  1 Er 3.53, 1 Ce 3.54, 10 Th 3.55-3.58

Computed properties:
- total moment (μB per formula unit) = 0.02
- E_form (eV per atom) = 0.0345
- space group = Amm2

---

Entry 3:
Below is an optimized crystal structure of CeEr2Th2, with properties calculated at the GGA-PBE level.

abc: 8.9115 8.9115 8.9115
angles: 150.86 150.86 41.68
Closest atoms and distances in Å follow each position.
Atoms (fractional coordinates):
Ce (0.0000, 0.0000, 0.0000)  8 Th 3.53
Er (0.2500, 0.7500, 0.5000)  4 Er 3.17, 4 Th 3.44
Er (0.7500, 0.2500, 0.5000)  4 Er 3.17, 4 Th 3.44
Th (0.4069, 0.4069, 0.0000)  1 Th 3.10, 4 Er 3.44
Th (0.5931, 0.5931, 0.0000)  1 Th 3.10, 4 Er 3.44

Computed properties:
- total moment (μB per formula unit) = 0.64
- distance to the lowest polymorph of the same formula (meV per atom) = 393
- E_form (eV per atom) = 0.4467
- space group = I4/mmm

---

Entry 4:
Below is an optimized crystal structure of CeErTh3, with properties calculated at the GGA-PBE level.

abc: 3.5378 3.5378 28.7217
angles: 90.00 90.00 120.00
Closest atoms and distances in Å follow each position.
Atoms (fractional coordinates):
Ce (0.3333, 0.6667, 0.0000)  6 Th 3.45-3.50, 6 Ce 3.54
Ce (0.6667, 0.3333, 0.5000)  6 Th 3.45-3.50, 6 Ce 3.54
Er (0.0000, 0.0000, 0.3036)  6 Th 3.51-3.60, 6 Er 3.54
Er (0.0000, 0.0000, 0.8036)  6 Th 3.51-3.60, 6 Er 3.54
Th (0.0000, 0.0000, 0.0990)  3 Ce 3.50, 9 Th 3.54-3.55
Th (0.0000, 0.0000, 0.5990)  3 Ce 3.50, 9 Th 3.54-3.55
Th (0.3333, 0.6667, 0.4031)  3 Ce 3.45, 3 Er 3.51, 6 Th 3.54
Th (0.3333, 0.6667, 0.7002)  9 Th 3.54-3.55, 3 Er 3.60
Th (0.6667, 0.3333, 0.2002)  9 Th 3.54-3.55, 3 Er 3.60
Th (0.6667, 0.3333, 0.9031)  3 Ce 3.45, 3 Er 3.51, 6 Th 3.54

Computed properties:
- total moment (μB per formula unit) = 0.00
- distance to the lowest polymorph of the same formula (meV per atom) = 0
- E_form (eV per atom) = 0.0317
- space group = P6_3mc

---

Entry 5:
Below is an optimized crystal structure of CeErTh3, with properties calculated at the GGA-PBE level.

abc: 5.5295 8.4981 6.7504
angles: 90.00 90.00 90.00
Closest atoms and distances in Å follow each position.
Atoms (fractional coordinates):
Ce (0.2500, 0.2500, 0.0019)  4 Th 3.00-3.26, 1 Er 3.05
Ce (0.7500, 0.7500, 0.9981)  4 Th 3.00-3.26, 1 Er 3.05
Er (0.2500, 0.2500, 0.4543)  1 Ce 3.05, 4 Th 3.31-3.40
Er (0.7500, 0.7500, 0.5457)  1 Ce 3.05, 4 Th 3.31-3.40
Th (0.2500, 0.5502, 0.7667)  1 Ce 3.00, 1 Er 3.31
Th (0.2500, 0.7500, 0.2526)  2 Ce 3.26, 2 Er 3.40
Th (0.2500, 0.9498, 0.7667)  1 Ce 3.00, 1 Er 3.31
Th (0.7500, 0.0502, 0.2333)  1 Ce 3.00, 1 Er 3.31
Th (0.7500, 0.2500, 0.7474)  2 Ce 3.26, 2 Er 3.40
Th (0.7500, 0.4498, 0.2333)  1 Ce 3.00, 1 Er 3.31

Computed properties:
- total moment (μB per formula unit) = 0.00
- distance to the lowest polymorph of the same formula (meV per atom) = 195
- E_form (eV per atom) = 0.2266
- space group = Pmmn

---

Entry 6:
Below is an optimized crystal structure of CeErTh, with properties calculated at the GGA-PBE level.

abc: 3.5220 4.9308 10.5587
angles: 90.00 90.00 90.00
Closest atoms and distances in Å follow each position.
Atoms (fractional coordinates):
Ce (0.2500, 0.2500, 0.0788)  5 Er 3.45-3.52, 6 Ce 3.46-3.52, 1 Th 3.57
Ce (0.7500, 0.7500, 0.9212)  5 Er 3.45-3.52, 6 Ce 3.46-3.52, 1 Th 3.57
Er (0.2500, 0.2500, 0.7518)  5 Ce 3.45-3.52, 5 Th 3.51-3.54, 2 Er 3.52
Er (0.7500, 0.7500, 0.2482)  5 Ce 3.45-3.52, 5 Th 3.51-3.54, 2 Er 3.52
Th (0.2500, 0.2500, 0.4167)  6 Th 3.50-3.52, 5 Er 3.51-3.54, 1 Ce 3.57
Th (0.7500, 0.7500, 0.5833)  6 Th 3.50-3.52, 5 Er 3.51-3.54, 1 Ce 3.57

Computed properties:
- total moment (μB per formula unit) = 0.68
- distance to the lowest polymorph of the same formula (meV per atom) = 29
- E_form (eV per atom) = 0.0739
- space group = Pmmn

---

Entry 7:
Below is an optimized crystal structure of Ce2ErTh6, with properties calculated at the GGA-PBE level.

abc: 6.1092 6.1092 8.6650
angles: 90.00 90.00 120.09
Closest atoms and distances in Å follow each position.
Atoms (fractional coordinates):
Ce (0.0000, 0.5000, 0.1674)  10 Th 3.36-3.56
Ce (0.5000, 0.0000, 0.8326)  10 Th 3.36-3.56
Er (0.0000, 0.0000, 0.5000)  10 Th 3.41-3.54
Th (0.1642, 0.3371, 0.8356)  4 Ce 3.36-3.56, 5 Th 3.39-3.56, 1 Er 3.41
Th (0.3303, 0.6697, 0.5000)  2 Ce 3.37, 5 Th 3.40-3.59, 3 Er 3.50-3.54
Th (0.3371, 0.1642, 0.1644)  4 Ce 3.36-3.56, 5 Th 3.39-3.56, 1 Er 3.41
Th (0.6629, 0.8358, 0.1644)  4 Ce 3.36-3.56, 5 Th 3.39-3.56, 1 Er 3.41
Th (0.6697, 0.3303, 0.5000)  2 Ce 3.37, 5 Th 3.40-3.59, 3 Er 3.50-3.54
Th (0.8358, 0.6629, 0.8356)  4 Ce 3.36-3.56, 5 Th 3.39-3.56, 1 Er 3.41

Computed properties:
- total moment (μB per formula unit) = 0.00
- E_form (eV per atom) = 0.1288
- space group = C222

---

Entry 8:
Below is an optimized crystal structure of CeEr2Th, with properties calculated at the GGA-PBE level.

abc: 12.3459 12.3459 12.3459
angles: 15.99 15.99 15.99
Closest atoms and distances in Å follow each position.
Atoms (fractional coordinates):
Ce (0.0000, 0.0000, 0.0000)  2 Er 3.29, 6 Ce 3.43
Er (0.0901, 0.0901, 0.0901)  1 Ce 3.29, 3 Th 3.43, 6 Er 3.43
Er (0.9099, 0.9099, 0.9099)  1 Ce 3.29, 3 Th 3.43, 6 Er 3.43
Th (0.5000, 0.5000, 0.5000)  6 Er 3.43, 6 Th 3.43

Computed properties:
- total moment (μB per formula unit) = 0.81
- distance to the lowest polymorph of the same formula (meV per atom) = 126
- E_form (eV per atom) = 0.1748
- space group = R-3m

---

Entry 9:
Below is an optimized crystal structure of CeEr2Th, with properties calculated at the GGA-PBE level.

abc: 4.9703 4.9703 4.9840
angles: 90.00 90.00 90.00
Closest atoms and distances in Å follow each position.
Atoms (fractional coordinates):
Ce (0.0000, 0.0000, 0.0000)  4 Th 3.51, 8 Er 3.52
Er (0.0000, 0.5000, 0.5000)  4 Er 3.51, 4 Th 3.52, 4 Ce 3.52
Er (0.5000, 0.0000, 0.5000)  4 Er 3.51, 4 Th 3.52, 4 Ce 3.52
Th (0.5000, 0.5000, 0.0000)  4 Ce 3.51, 8 Er 3.52

Computed properties:
- total moment (μB per formula unit) = 0.82
- distance to the lowest polymorph of the same formula (meV per atom) = 24
- E_form (eV per atom) = 0.0724
- space group = P4/mmm

---

Entry 10:
Below is an optimized crystal structure of CeEr3Th, with properties calculated at the GGA-PBE level.

abc: 6.1507 6.1507 10.8780
angles: 90.00 90.00 130.57
Closest atoms and distances in Å follow each position.
Atoms (fractional coordinates):
Ce (0.1904, 0.8096, 0.0000)  2 Ce 2.90
Ce (0.8096, 0.1904, 0.0000)  2 Ce 2.90
Er (0.1518, 0.8482, 0.2983)  3 Th 3.23-3.39, 1 Ce 3.27, 5 Er 3.38-3.42
Er (0.1518, 0.8482, 0.7017)  3 Th 3.23-3.39, 1 Ce 3.27, 5 Er 3.38-3.42
Er (0.5000, 0.5000, 0.1627)  5 Er 3.42-3.54, 4 Ce 3.78
Er (0.5000, 0.5000, 0.8373)  5 Er 3.42-3.54, 4 Ce 3.78
Er (0.8482, 0.1518, 0.2983)  3 Th 3.23-3.39, 1 Ce 3.27, 5 Er 3.38-3.42
Er (0.8482, 0.1518, 0.7017)  3 Th 3.23-3.39, 1 Ce 3.27, 5 Er 3.38-3.42
Th (0.3643, 0.6357, 0.5000)  1 Th 3.03, 6 Er 3.23-3.39
Th (0.6357, 0.3643, 0.5000)  1 Th 3.03, 6 Er 3.23-3.39

Computed properties:
- total moment (μB per formula unit) = 0.42
- E_form (eV per atom) = 0.1960
- space group = Cmmm

---

Entry 11:
Below is an optimized crystal structure of CeEr2Th6, with properties calculated at the GGA-PBE level.

abc: 6.1355 6.1355 8.7161
angles: 90.00 90.00 120.20
Closest atoms and distances in Å follow each position.
Atoms (fractional coordinates):
Ce (0.0000, 0.0000, 0.0000)  10 Th 3.35-3.54
Er (0.0000, 0.5000, 0.6663)  10 Th 3.40-3.59
Er (0.5000, 0.0000, 0.3337)  10 Th 3.40-3.59
Th (0.1585, 0.3238, 0.3303)  1 Ce 3.35, 5 Th 3.41-3.62, 4 Er 3.43-3.59
Th (0.3238, 0.1585, 0.6697)  1 Ce 3.35, 5 Th 3.41-3.62, 4 Er 3.43-3.59
Th (0.3324, 0.6676, 0.0000)  2 Er 3.40, 5 Th 3.41-3.57, 3 Ce 3.54
Th (0.6676, 0.3324, 0.0000)  2 Er 3.40, 5 Th 3.41-3.57, 3 Ce 3.54
Th (0.6762, 0.8415, 0.6697)  1 Ce 3.35, 5 Th 3.41-3.62, 4 Er 3.43-3.59
Th (0.8415, 0.6762, 0.3303)  1 Ce 3.35, 5 Th 3.41-3.62, 4 Er 3.43-3.59

Computed properties:
- total moment (μB per formula unit) = 0.00
- E_form (eV per atom) = 0.1381
- space group = C222

---

Entry 12:
Below is an optimized crystal structure of CeErTm2Th, with properties calculated at the GGA-PBE level.

abc: 3.4522 5.4600 8.6793
angles: 90.00 90.00 90.00
Closest atoms and distances in Å follow each position.
Atoms (fractional coordinates):
Ce (0.0000, 0.0000, 0.0000)  4 Th 3.23, 2 Ce 3.45
Er (0.5000, 0.0000, 0.5000)  2 Er 3.45, 8 Tm 3.58
Tm (0.0000, 0.5000, 0.3211)  3 Tm 3.10-3.45, 2 Th 3.28
Tm (0.0000, 0.5000, 0.6789)  3 Tm 3.10-3.45, 2 Th 3.28
Th (0.5000, 0.5000, 0.0000)  4 Ce 3.23, 4 Tm 3.28, 2 Th 3.45

Computed properties:
- total moment (μB per formula unit) = 0.56
- E_form (eV per atom) = 0.3135
- space group = Pmmm